## Ag2Hg2MoO6 (GGA+U)

Data for a geometry-optimized Ag2Hg2MoO6 structure.

Its space group is No. 12. The total DFT energy (no corrections) is -4.520 eV/atom. For the calculated density, the calculation gives 7.2 Mg/m³. The calculated volume comes out at 16.9 A^3/atom.

```
11
Lattice="3.479 -5.009 0.000 3.479 5.009 0.000 -3.242 0.000 5.343" Properties=species:S:1:pos:R:3 pbc="T T T"
Ag 3.479 3.408 0.000
Ag 3.479 -3.408 0.000
Hg 1.858 1.638 2.672
Hg 1.858 -1.638 2.672
Mo 3.479 0.000 0.000
O -1.620 0.000 5.309
O 0.244 1.464 3.934
O 3.473 1.464 1.409
O 0.244 -1.464 3.934
O 3.473 -1.464 1.409
O 5.337 0.000 0.034
```